DFT (GGA-PBEsol) results for a relaxed structure of K2TaF7.

Unit cell a=5.7530 b=9.9971 c=11.2497 alpha=90.00 beta=90.00 gamma=90.00
Last column: nearest neighbours and their distance in Å.
Sites, in units of the cell vectors:
1 F 0.5278 0.1532 0.5166  1 Ta 1.96
2 F 0.9722 0.6532 0.9834  1 Ta 1.96
3 F 0.0278 0.8468 0.4834  1 Ta 1.96
4 F 0.2500 0.1384 0.9674  1 Ta 1.98
5 F 0.5441 0.1716 0.7330  1 Ta 1.96
6 F 0.9722 0.8967 0.8476  1 Ta 1.97
7 F 0.4722 0.1033 0.1524  1 Ta 1.97
8 F 0.9722 0.3967 0.6524  1 Ta 1.97
9 F 0.7500 0.8616 0.0326  1 Ta 1.98
10 F 0.0278 0.3468 0.0166  1 Ta 1.96
11 F 0.0441 0.8284 0.2670  1 Ta 1.96
12 F 0.5278 0.8967 0.8476  1 Ta 1.97
13 F 0.5278 0.3967 0.6524  1 Ta 1.97
14 F 0.4722 0.8468 0.4834  1 Ta 1.96
15 F 0.0441 0.3284 0.2330  1 Ta 1.96
16 F 0.9559 0.1716 0.7330  1 Ta 1.96
17 F 0.9559 0.6716 0.7670  1 Ta 1.96
18 F 0.4722 0.6033 0.3476  1 Ta 1.97
19 F 0.2500 0.6384 0.5326  1 Ta 1.98
20 F 0.9722 0.1532 0.5166  1 Ta 1.96
21 F 0.5441 0.6716 0.7670  1 Ta 1.96
22 F 0.0278 0.6033 0.3476  1 Ta 1.97
23 F 0.4559 0.8284 0.2670  1 Ta 1.96
24 F 0.7500 0.3616 0.4674  1 Ta 1.98
25 F 0.0278 0.1033 0.1524  1 Ta 1.97
26 F 0.5278 0.6532 0.9834  1 Ta 1.96
27 F 0.4722 0.3468 0.0166  1 Ta 1.96
28 F 0.4559 0.3284 0.2330  1 Ta 1.96
29 K 0.7500 0.6199 0.5573  11 F 2.69-2.90
30 K 0.7500 0.0228 0.3319  8 F 2.68-2.93
31 K 0.2500 0.3801 0.4427  11 F 2.69-2.90
32 K 0.2500 0.9772 0.6681  8 F 2.68-2.93
33 K 0.7500 0.1199 0.9427  11 F 2.69-2.90
34 K 0.7500 0.5228 0.1681  8 F 2.68-2.93
35 K 0.2500 0.4772 0.8319  8 F 2.68-2.93
36 K 0.2500 0.8801 0.0573  11 F 2.69-2.90
37 Ta 0.2500 0.2465 0.1148  7 F 1.96-1.98
38 Ta 0.7500 0.7535 0.8852  7 F 1.96-1.98
39 Ta 0.7500 0.2535 0.6148  7 F 1.96-1.98
40 Ta 0.2500 0.7465 0.3852  7 F 1.96-1.98

**Final energy**: -6.049 eV/atom
**DOS at the Fermi energy**: 0.00 states/eV/cell
**Total magnetization**: 0.0 μB per cell
**Energy relative to the elements, uncorrected**: -3.22 eV/atom
**Calculated volume**: 647.01 Å³ per cell

DFT (GGA-PBEsol) results for a relaxed structure of K2TaF7.

Unit cell a=5.8133 b=8.4696 c=12.6566 alpha=90.00 beta=90.00 gamma=90.31
Last column: nearest neighbours and their distance in Å.
Sites, in units of the cell vectors:
1 K 0.7617 0.3186 0.9400  9 F 2.63-2.89
2 K 0.2362 0.5543 0.7179  9 F 2.65-2.87
3 K 0.7617 0.8186 0.5600  9 F 2.63-2.89
4 K 0.7638 0.4457 0.2821  9 F 2.65-2.87
5 K 0.7638 0.9457 0.2179  9 F 2.65-2.87
6 K 0.2383 0.6814 0.0600  9 F 2.63-2.89
7 K 0.2362 0.0543 0.7821  9 F 2.65-2.87
8 K 0.2383 0.1814 0.4400  9 F 2.63-2.89
9 Ta 0.7296 0.2785 0.6280  7 F 1.94-1.99
10 Ta 0.2704 0.2215 0.1280  7 F 1.94-1.99
11 Ta 0.2704 0.7215 0.3720  7 F 1.94-1.99
12 Ta 0.7296 0.7785 0.8720  7 F 1.94-1.99
13 F 0.4622 0.9118 0.3893  1 Ta 1.97
14 F 0.1777 0.5015 0.3795  1 Ta 1.94
15 F 0.7857 0.2853 0.4758  1 Ta 1.95
16 F 0.0464 0.2009 0.2456  1 Ta 1.99
17 F 0.5378 0.5882 0.8893  1 Ta 1.97
18 F 0.4398 0.3718 0.5767  1 Ta 1.97
19 F 0.5375 0.2934 0.7564  1 Ta 1.98
20 F 0.1777 0.0015 0.1205  1 Ta 1.94
21 F 0.0464 0.7009 0.2544  1 Ta 1.99
22 F 0.9621 0.6123 0.8944  1 Ta 1.98
23 F 0.5602 0.6282 0.4233  1 Ta 1.97
24 F 0.5378 0.0882 0.6107  1 Ta 1.97
25 F 0.4622 0.4118 0.1107  1 Ta 1.97
26 F 0.9621 0.1123 0.6056  1 Ta 1.98
27 F 0.4625 0.7066 0.2436  1 Ta 1.98
28 F 0.5602 0.1282 0.0767  1 Ta 1.97
29 F 0.4398 0.8718 0.9233  1 Ta 1.97
30 F 0.2143 0.7147 0.5242  1 Ta 1.95
31 F 0.0379 0.3877 0.1056  1 Ta 1.98
32 F 0.0379 0.8877 0.3944  1 Ta 1.98
33 F 0.5375 0.7934 0.7436  1 Ta 1.98
34 F 0.8223 0.4985 0.6205  1 Ta 1.94
35 F 0.2143 0.2147 0.9758  1 Ta 1.95
36 F 0.9536 0.7991 0.7544  1 Ta 1.99
37 F 0.7857 0.7853 0.0242  1 Ta 1.95
38 F 0.9536 0.2991 0.7456  1 Ta 1.99
39 F 0.8223 0.9985 0.8795  1 Ta 1.94
40 F 0.4625 0.2066 0.2564  1 Ta 1.98

**Final energy**: -6.057 eV/atom
**DOS at the Fermi energy**: 0.00 states/eV/cell
**Total magnetization**: 0.4 μB per cell
**Energy relative to the elements, uncorrected**: -3.23 eV/atom
**Calculated volume**: 623.15 Å³ per cell